Compound: SrLa2Ag
Source: Alexandria via LeMat-Bulk
Functional: PBEsol
Structure: optimized geometry

Summary:
Calculated density = 6.26 g cm⁻³
E = -15.258 eV/cell
Energy of formation from the pure elements = 3.38 kcal/mol of atoms

Cell: 5.342 5.342 4.402 Å, 90.00 90.00 90.00°
Space group P4/mmm (No. 123)
Asymmetric unit:
Sr  0.000  0.000  0.000 [1 per cell]
La  0.000  0.500  0.500 [2 per cell]
Ag  0.500  0.500  0.000 [1 per cell]

Compound: SrLa2Ag
Source: Alexandria via LeMat-Bulk
Functional: PBEsol
Structure: optimized geometry

Summary:
Calculated density = 6.00 g cm⁻³
E = -16.129 eV/cell
Energy of formation from the pure elements = -1.64 kcal/mol of atoms

Cell: 3.752 3.752 9.301 Å, 90.00 90.00 90.00°
Space group P4mm (No. 99)
Asymmetric unit:
Sr  0.000  0.000  0.000 [1 per cell]
La  0.000  0.000  0.408 [1 per cell]
La  0.500  0.500  0.668 [1 per cell]
Ag  0.500  0.500  0.218 [1 per cell]

Compound: SrLa2Ag
Source: Alexandria via LeMat-Bulk
Functional: PBEsol
Structure: optimized geometry

Summary:
Calculated density = 5.76 g cm⁻³
E = -46.838 eV/cell
Energy of formation from the pure elements = 1.33 kcal/mol of atoms

Cell: 3.8287 3.8287 32.2636 Å, 90.00 90.00 120.00°
Space group R3m (No. 160, hexagonal axes)
Asymmetric unit:
Sr  0.0000  0.0000  0.0000 [3 per cell]
La  0.0000  0.0000  0.2283 [3 per cell]
La  0.0000  0.0000  0.4726 [3 per cell]
Ag  0.0000  0.0000  0.7376 [3 per cell]

The following polymorph energy (0 for the lowest one) values (in kJ/mol of formula units) correspond, in order, to the records above: 84 0 50.